DFT (GGA-PBE) results for a relaxed Cu3BiTe crystal.

abc: 4.925 4.925 4.925
angles: 90.00 90.00 90.00
Fractional coordinates of all 5 atoms:
Cu 0.000 0.000 0.500
Cu 0.000 0.500 0.000
Cu 0.500 0.000 0.000
Bi 0.500 0.500 0.500
Te 0.000 0.000 0.000

Values from the calculation:
ΔE to the lowest computed polymorph = 0 meV/atom
spin magnetization = 0.00 μB/atom
formation energy without anion corrections = 0.656 eV per atom
D(E_F) = 5.4 states/eV/f.u.
space group = Pm-3m (221)

DFT (GGA-PBE) results for a relaxed CuBi2Te crystal.

abc: 7.364 7.364 7.364
angles: 34.02 34.02 34.02
Fractional coordinates of all 4 atoms:
Cu 0.000 0.000 0.000
Bi 0.270 0.270 0.270
Bi 0.730 0.730 0.730
Te 0.500 0.500 0.500

Values from the calculation:
spin magnetization = 0.00 μB/atom
formation energy without anion corrections = 0.083 eV per atom
D(E_F) = 2.8 states/eV/f.u.
space group = R-3m (166)

DFT (GGA-PBE) results for a relaxed Cu5Bi3Te12 crystal.

abc: 14.544 14.544 14.544
angles: 109.47 109.47 109.47
Fractional coordinates of all 80 atoms:
Cu 0.000 0.000 0.000
Cu 0.000 0.000 0.500
Cu 0.000 0.500 0.000
Cu 0.000 0.500 0.500
Cu 0.125 0.750 0.875
Cu 0.125 0.875 0.250
Cu 0.250 0.125 0.875
Cu 0.250 0.625 0.375
Cu 0.375 0.250 0.625
Cu 0.375 0.625 0.750
Cu 0.500 0.000 0.000
Cu 0.500 0.000 0.500
Cu 0.500 0.500 0.000
Cu 0.500 0.500 0.500
Cu 0.625 0.375 0.250
Cu 0.625 0.750 0.375
Cu 0.750 0.375 0.625
Cu 0.750 0.875 0.125
Cu 0.875 0.125 0.750
Cu 0.875 0.250 0.125
Bi 0.125 0.250 0.375
Bi 0.125 0.375 0.750
Bi 0.250 0.375 0.125
Bi 0.250 0.875 0.625
Bi 0.375 0.125 0.250
Bi 0.375 0.750 0.125
Bi 0.625 0.250 0.875
Bi 0.625 0.875 0.750
Bi 0.750 0.125 0.375
Bi 0.750 0.625 0.875
Bi 0.875 0.625 0.250
Bi 0.875 0.750 0.625
Te 0.027 0.204 0.116
Te 0.027 0.322 0.910
Te 0.088 0.704 0.678
Te 0.088 0.884 0.410
Te 0.090 0.616 0.412
Te 0.090 0.973 0.678
Te 0.116 0.027 0.204
Te 0.116 0.590 0.912
Te 0.178 0.204 0.588
Te 0.178 0.473 0.590
Te 0.204 0.116 0.027
Te 0.204 0.588 0.178
Te 0.296 0.322 0.912
Te 0.296 0.473 0.384
Te 0.322 0.910 0.027
Te 0.322 0.912 0.296
Te 0.384 0.296 0.473
Te 0.384 0.588 0.910
Te 0.410 0.088 0.884
Te 0.410 0.822 0.527
Te 0.412 0.090 0.616
Te 0.412 0.822 0.796
Te 0.473 0.384 0.296
Te 0.473 0.590 0.178
Te 0.527 0.410 0.822
Te 0.527 0.616 0.704
Te 0.588 0.178 0.204
Te 0.588 0.910 0.384
Te 0.590 0.178 0.473
Te 0.590 0.912 0.116
Te 0.616 0.412 0.090
Te 0.616 0.704 0.527
Te 0.678 0.088 0.704
Te 0.678 0.090 0.973
Te 0.704 0.527 0.616
Te 0.704 0.678 0.088
Te 0.796 0.412 0.822
Te 0.796 0.884 0.973
Te 0.822 0.527 0.410
Te 0.822 0.796 0.412
Te 0.884 0.410 0.088
Te 0.884 0.973 0.796
Te 0.910 0.027 0.322
Te 0.910 0.384 0.588
Te 0.912 0.116 0.590
Te 0.912 0.296 0.322
Te 0.973 0.678 0.090
Te 0.973 0.796 0.884

Values from the calculation:
spin magnetization = 0.00 μB/atom
formation energy without anion corrections = 0.057 eV per atom
D(E_F) = 21.2 states/eV/f.u.
space group = Ia-3d (230)

DFT (GGA-PBE) results for a relaxed CuBiTe3 crystal.

abc: 7.819 4.091 9.561
angles: 90.00 91.71 90.00
Fractional coordinates of all 10 atoms:
Cu 0.139 0.250 0.083
Cu 0.861 0.750 0.917
Bi 0.427 0.750 0.690
Bi 0.573 0.250 0.310
Te 0.024 0.250 0.811
Te 0.262 0.250 0.493
Te 0.357 0.750 0.083
Te 0.643 0.250 0.917
Te 0.738 0.750 0.507
Te 0.976 0.750 0.189

Values from the calculation:
ΔE to the lowest computed polymorph = 0 meV/atom
spin magnetization = 0.00 μB/atom
formation energy without anion corrections = -0.040 eV per atom
D(E_F) = 2.0 states/eV/f.u.
space group = P2_1/m (11)

DFT (GGA-PBE) results for a relaxed Cu2BiTe crystal.

abc: 6.875 6.875 6.875
angles: 124.80 124.80 81.86
Fractional coordinates of all 8 atoms:
Cu 0.107 0.625 0.982
Cu 0.375 0.357 0.482
Cu 0.643 0.125 0.018
Cu 0.875 0.893 0.518
Bi 0.250 0.750 0.500
Bi 0.500 0.500 0.000
Te 0.000 0.000 0.000
Te 0.750 0.250 0.500

Values from the calculation:
ΔE to the lowest computed polymorph = 0 meV/atom
spin magnetization = 0.00 μB/atom
formation energy without anion corrections = 0.204 eV per atom
D(E_F) = 2.6 states/eV/f.u.
space group = I-42d (122)

DFT (GGA-PBE) results for a relaxed Cu2Bi2Te crystal.

abc: 8.725 8.725 3.150
angles: 90.00 90.00 90.00
Fractional coordinates of all 10 atoms:
Cu 0.147 0.353 0.000
Cu 0.353 0.853 0.000
Cu 0.647 0.147 0.000
Cu 0.853 0.647 0.000
Bi 0.149 0.649 0.500
Bi 0.351 0.149 0.500
Bi 0.649 0.851 0.500
Bi 0.851 0.351 0.500
Te 0.000 0.000 0.500
Te 0.500 0.500 0.500

Values from the calculation:
ΔE to the lowest computed polymorph = 104 meV/atom
spin magnetization = 0.00 μB/atom
formation energy without anion corrections = 0.314 eV per atom
D(E_F) = 2.3 states/eV/f.u.
space group = P4/mbm (127)